Record 1
Entry from Alexandria via LeMat-Bulk: a geometry-optimized AcCu2GePd4 structure (PBE).

Geometry as CIF:
```
data_AcCu2GePd4
_cell_length_a 4.3422
_cell_length_b 4.3422
_cell_length_c 9.1292
_cell_angle_alpha 76.24
_cell_angle_beta 76.24
_cell_angle_gamma 60.00
_symmetry_space_group_name_H-M 'P 1'
_symmetry_Int_Tables_number 1
loop_
_symmetry_equiv_pos_as_xyz
'x,y,z'
loop_
_atom_site_label
_atom_site_fract_x
_atom_site_fract_y
_atom_site_fract_z
Pd1 0.8657 0.8657 0.4029
Pd2 0.4056 0.4056 0.7831
Pd3 0.1343 0.1343 0.5971
Pd4 0.5944 0.5944 0.2169
Cu1 0.7599 0.7599 0.7203
Cu2 0.2401 0.2401 0.2797
Ac1 0.0000 0.0000 0.0000
Ge1 0.5000 0.5000 0.5000
```

Record 2
Entry from Alexandria via LeMat-Bulk: a geometry-optimized AcPm2Cu2Ge2 structure (PBE).

Geometry as CIF:
```
data_AcPm2Cu2Ge2
_cell_length_a 4.3875
_cell_length_b 4.3875
_cell_length_c 10.3773
_cell_angle_alpha 77.80
_cell_angle_beta 77.80
_cell_angle_gamma 60.00
_symmetry_space_group_name_H-M 'P 1'
_symmetry_Int_Tables_number 1
loop_
_symmetry_equiv_pos_as_xyz
'x,y,z'
loop_
_atom_site_label
_atom_site_fract_x
_atom_site_fract_y
_atom_site_fract_z
Cu1 0.4077 0.4077 0.7770
Cu2 0.5923 0.5923 0.2230
Ge1 0.7412 0.7412 0.7765
Ge2 0.2588 0.2588 0.2235
Pm1 0.8716 0.8716 0.3852
Pm2 0.1284 0.1284 0.6148
Ac1 0.0000 0.0000 0.0000
```

Record 3
Entry from Alexandria via LeMat-Bulk: a geometry-optimized Ac2PmCu3Ge4 structure (PBE).

Geometry as CIF:
```
data_Ac2PmCu3Ge4
_cell_length_a 4.4697
_cell_length_b 4.4697
_cell_length_c 11.0855
_cell_angle_alpha 90.00
_cell_angle_beta 90.00
_cell_angle_gamma 90.00
_symmetry_space_group_name_H-M 'P 1'
_symmetry_Int_Tables_number 1
loop_
_symmetry_equiv_pos_as_xyz
'x,y,z'
loop_
_atom_site_label
_atom_site_fract_x
_atom_site_fract_y
_atom_site_fract_z
Cu1 0.0000 0.5000 0.1101
Cu2 0.5000 0.0000 0.8899
Cu3 0.0000 0.0000 0.5000
Pm1 0.5000 0.5000 0.5000
Ge1 0.5000 0.5000 0.0000
Ge2 0.0000 0.0000 0.0000
Ge3 0.5000 0.0000 0.6634
Ge4 0.0000 0.5000 0.3366
Ac1 0.5000 0.0000 0.2248
Ac2 0.0000 0.5000 0.7752
```

The evaluated VASP energy for the records listed, in turn: -5.147, -4.911, -4.883 eV per atom.